Record 1
VASP calculation (PBE-GGA) on TiNbVRu after structural relaxation.

excess energy over the best structure of this formula in the dataset	0.024	eV/atom
DFT formation energy	-0.269	eV/atom
Fermi-level density of states	5.15	states/eV per cell
space-group type	F-43m, No. 216

abc: 4.4294 4.4294 4.4294
angles: 60.00 60.00 60.00
Fractional coordinates of all 4 atoms:
Ti 0.2500 0.2500 0.2500
Ru 0.5000 0.5000 0.5000
V 0.0000 0.0000 0.0000
Nb 0.7500 0.7500 0.7500

Record 2
VASP calculation (PBE-GGA) on TiNb2VRu after structural relaxation.

DFT formation energy	0.978	eV/atom
Fermi-level density of states	7.73	states/eV per cell
space-group type	P4/mmm, No. 123

abc: 4.8615 4.3822 4.8615
angles: 90.00 90.00 90.00
Last column: magnetic moment on the atom in μB.
Fractional coordinates of all 5 atoms:
V 0.0000 0.5000 0.0000  -0.07
Nb 0.0000 0.0000 0.5000  0.05
Nb 0.5000 0.0000 0.0000  0.00
Ti 0.5000 0.5000 0.5000  0.43
Ru 0.0000 0.0000 0.0000  0.02

Record 3
VASP calculation (PBE-GGA) on TiNbVRu after structural relaxation.

excess energy over the best structure of this formula in the dataset	0.000	eV/atom
DFT formation energy	-0.293	eV/atom
Fermi-level density of states	4.36	states/eV per cell
space-group type	P4mm, No. 99

abc: 3.1142 3.1142 6.3538
angles: 90.00 90.00 90.00
Fractional coordinates of all 4 atoms:
V 0.0000 0.0000 0.3609
Nb 0.5000 0.5000 0.1077
Ti 0.5000 0.5000 0.6075
Ru 0.0000 0.0000 0.8519

Record 4
VASP calculation (PBE-GGA) on TiNbRuW after structural relaxation.

DFT formation energy	-0.266	eV/atom
Fermi-level density of states	2.57	states/eV per cell
space-group type	F-43m, No. 216

abc: 4.4820 4.4820 4.4820
angles: 60.00 60.00 60.00
Fractional coordinates of all 4 atoms:
Nb 0.7500 0.7500 0.7500
Ru 0.0000 0.0000 0.0000
Ti 0.2500 0.2500 0.2500
W 0.5000 0.5000 0.5000

E, respectively: -9.359 -8.307 -9.383 -10.314 eV per atom.